Record 1
# LiY2TiZn | Alexandria | PBE | relaxed
data_LiY2TiZn
_cell_length_a 5.3201
_cell_length_b 5.3201
_cell_length_c 5.0334
_cell_angle_alpha 90.00
_cell_angle_beta 90.00
_cell_angle_gamma 90.00
_space_group_name_H-M_alt 'P 4/m m m'
_space_group_IT_number 123
_space_group_name_Hall '-P 4 2'
loop_
_atom_site_label
_atom_site_fract_x
_atom_site_fract_y
_atom_site_fract_z
Li1 0.0000 0.0000 0.0000
Y1 0.0000 0.5000 0.5000
Ti1 0.5000 0.5000 0.5000
Zn1 0.5000 0.5000 0.0000
# - Density of states at the Fermi level: 4.6 states/eV/cell
# - Energy of formation: 2.771 eV per formula unit
# - Size of the total moment: 0.4 μB per formula unit
# - Uncorrected energy: -4.248 eV/atom
# - Theoretical density: 3474 kg/m³

=====

Record 2
# LiTiZn2 | Alexandria | PBE | relaxed
data_LiTiZn2
_cell_length_a 6.2067
_cell_length_b 6.2067
_cell_length_c 6.2067
_cell_angle_alpha 90.00
_cell_angle_beta 90.00
_cell_angle_gamma 90.00
_space_group_name_H-M_alt 'F m -3 m'
_space_group_IT_number 225
_space_group_name_Hall '-F 4 2 3'
loop_
_atom_site_label
_atom_site_fract_x
_atom_site_fract_y
_atom_site_fract_z
Li1 0.0000 0.0000 0.0000
Ti1 0.0000 0.0000 0.5000
Zn1 0.2500 0.2500 0.2500
# - Density of states at the Fermi level: 11.1 states/eV/cell
# - Excess energy over the best structure of this formula in the dataset: 0.042 eV/atom
# - Energy of formation: -0.475 eV per formula unit
# - Size of the total moment: 0.0 μB per formula unit
# - Uncorrected energy: -3.208 eV/atom
# - Theoretical density: 5157 kg/m³

=====

Record 3
# LiTiZn2 | Alexandria | PBE | relaxed
data_LiTiZn2
_cell_length_a 2.9411
_cell_length_b 2.9411
_cell_length_c 6.9264
_cell_angle_alpha 90.00
_cell_angle_beta 90.00
_cell_angle_gamma 90.00
_space_group_name_H-M_alt 'P 4/m m m'
_space_group_IT_number 123
_space_group_name_Hall '-P 4 2'
loop_
_atom_site_label
_atom_site_fract_x
_atom_site_fract_y
_atom_site_fract_z
Li1 0.0000 0.0000 0.0000
Ti1 0.0000 0.0000 0.5000
Zn1 0.5000 0.5000 0.2379
# - Density of states at the Fermi level: 3.1 states/eV/cell
# - Excess energy over the best structure of this formula in the dataset: 0.000 eV/atom
# - Energy of formation: -0.643 eV per formula unit
# - Size of the total moment: 0.0 μB per formula unit
# - Uncorrected energy: -3.250 eV/atom
# - Theoretical density: 5145 kg/m³

=====

Record 4
# LiTiZn2 | Alexandria | PBE | relaxed
data_LiTiZn2
_cell_length_a 6.8894
_cell_length_b 6.8894
_cell_length_c 5.4813
_cell_angle_alpha 90.00
_cell_angle_beta 90.00
_cell_angle_gamma 90.00
_space_group_name_H-M_alt 'I -4 2 d'
_space_group_IT_number 122
_space_group_name_Hall 'I -4 2bw'
loop_
_atom_site_label
_atom_site_fract_x
_atom_site_fract_y
_atom_site_fract_z
Li1 0.0000 0.0000 0.0000
Ti1 0.0000 0.0000 0.5000
Zn1 0.2292 0.7500 0.1250
# - Density of states at the Fermi level: 6.6 states/eV/cell
# - Excess energy over the best structure of this formula in the dataset: 0.398 eV/atom
# - Energy of formation: 0.947 eV per formula unit
# - Size of the total moment: 0.0 μB per formula unit
# - Uncorrected energy: -2.852 eV/atom
# - Theoretical density: 4739 kg/m³

=====

Record 5
# LiTiZn3 | Alexandria | PBE | relaxed
data_LiTiZn3
_cell_length_a 4.2359
_cell_length_b 4.2359
_cell_length_c 4.2359
_cell_angle_alpha 90.00
_cell_angle_beta 90.00
_cell_angle_gamma 90.00
_space_group_name_H-M_alt 'P m -3 m'
_space_group_IT_number 221
_space_group_name_Hall '-P 4 2 3'
loop_
_atom_site_label
_atom_site_fract_x
_atom_site_fract_y
_atom_site_fract_z
Li1 0.0000 0.0000 0.0000
Ti1 0.5000 0.5000 0.5000
Zn1 0.0000 0.0000 0.5000
# - Density of states at the Fermi level: 2.2 states/eV/cell
# - Excess energy over the best structure of this formula in the dataset: 0.358 eV/atom
# - Energy of formation: 1.445 eV per formula unit
# - Size of the total moment: 0.0 μB per formula unit
# - Uncorrected energy: -2.437 eV/atom
# - Theoretical density: 5485 kg/m³

=====

Record 6
# LiTi3Zn | Alexandria | PBE | relaxed
data_LiTi3Zn
_cell_length_a 4.3861
_cell_length_b 4.3861
_cell_length_c 4.3861
_cell_angle_alpha 90.00
_cell_angle_beta 90.00
_cell_angle_gamma 90.00
_space_group_name_H-M_alt 'P m -3 m'
_space_group_IT_number 221
_space_group_name_Hall '-P 4 2 3'
loop_
_atom_site_label
_atom_site_fract_x
_atom_site_fract_y
_atom_site_fract_z
Li1 0.0000 0.0000 0.0000
Ti1 0.0000 0.0000 0.5000
Zn1 0.5000 0.5000 0.5000
# - Density of states at the Fermi level: 5.4 states/eV/cell
# - Excess energy over the best structure of this formula in the dataset: 0.000 eV/atom
# - Energy of formation: 4.028 eV per formula unit
# - Size of the total moment: 0.0 μB per formula unit
# - Uncorrected energy: -4.569 eV/atom
# - Theoretical density: 4250 kg/m³

=====

Record 7
# LiTi2Zn6 | Alexandria | PBE | relaxed
data_LiTi2Zn6
_cell_length_a 7.5100
_cell_length_b 7.5100
_cell_length_c 2.7976
_cell_angle_alpha 90.00
_cell_angle_beta 90.00
_cell_angle_gamma 120.00
_space_group_name_H-M_alt 'P 6/m m m'
_space_group_IT_number 191
_space_group_name_Hall '-P 6 2'
loop_
_atom_site_label
_atom_site_fract_x
_atom_site_fract_y
_atom_site_fract_z
Li1 0.0000 0.0000 0.0000
Ti1 0.3333 0.6667 0.0000
Zn1 0.0000 0.3339 0.5000
# - Density of states at the Fermi level: 4.8 states/eV/cell
# - Energy of formation: -1.674 eV per formula unit
# - Size of the total moment: 0.0 μB per formula unit
# - Uncorrected energy: -3.002 eV/atom
# - Theoretical density: 6016 kg/m³

=====

Record 8
# LiTiZn3 | Alexandria | PBE | relaxed
data_LiTiZn3
_cell_length_a 13.4069
_cell_length_b 5.2230
_cell_length_c 4.7010
_cell_angle_alpha 90.00
_cell_angle_beta 110.46
_cell_angle_gamma 90.00
_space_group_name_H-M_alt 'C 1 2/m 1'
_space_group_IT_number 12
_space_group_name_Hall '-C 2y'
loop_
_atom_site_label
_atom_site_fract_x
_atom_site_fract_y
_atom_site_fract_z
Li1 0.0585 0.0000 0.3082
Ti1 0.2188 0.5000 0.4677
Zn1 0.0000 0.5000 0.0000
Zn2 0.0000 0.5000 0.5000
Zn3 0.1512 0.2349 0.9001
# - Density of states at the Fermi level: 15.0 states/eV/cell
# - Excess energy over the best structure of this formula in the dataset: 0.000 eV/atom
# - Energy of formation: -0.346 eV per formula unit
# - Size of the total moment: 0.0 μB per formula unit
# - Uncorrected energy: -2.795 eV/atom
# - Theoretical density: 5406 kg/m³

=====

Record 9
# LiTiZn2 | Alexandria | PBE | relaxed
data_LiTiZn2
_cell_length_a 2.7607
_cell_length_b 2.7607
_cell_length_c 28.2013
_cell_angle_alpha 90.00
_cell_angle_beta 90.00
_cell_angle_gamma 120.00
_space_group_name_H-M_alt 'R 3 m'
_space_group_IT_number 160
_space_group_name_Hall 'R 3 -2"'
loop_
_atom_site_label
_atom_site_fract_x
_atom_site_fract_y
_atom_site_fract_z
Li1 0.0000 0.0000 0.0000
Ti1 0.0000 0.0000 0.1675
Zn1 0.0000 0.0000 0.5857
Zn2 0.0000 0.0000 0.7491
# - Density of states at the Fermi level: 9.7 states/eV/cell
# - Excess energy over the best structure of this formula in the dataset: 0.112 eV/atom
# - Energy of formation: -0.197 eV per formula unit
# - Size of the total moment: 0.0 μB per formula unit
# - Uncorrected energy: -3.138 eV/atom
# - Theoretical density: 4968 kg/m³

=====

Record 10
# LiTiZn | Alexandria | PBE | relaxed
data_LiTiZn
_cell_length_a 2.7353
_cell_length_b 2.7353
_cell_length_c 7.3858
_cell_angle_alpha 90.00
_cell_angle_beta 90.00
_cell_angle_gamma 120.00
_space_group_name_H-M_alt 'P 3 m 1'
_space_group_IT_number 156
_space_group_name_Hall 'P 3 -2"'
loop_
_atom_site_label
_atom_site_fract_x
_atom_site_fract_y
_atom_site_fract_z
Li1 0.0000 0.0000 0.0000
Ti1 0.6667 0.3333 0.3572
Zn1 0.3333 0.6667 0.6828
# - Density of states at the Fermi level: 2.1 states/eV/cell
# - Excess energy over the best structure of this formula in the dataset: 0.182 eV/atom
# - Energy of formation: 0.167 eV per formula unit
# - Size of the total moment: 0.0 μB per formula unit
# - Uncorrected energy: -3.638 eV/atom
# - Theoretical density: 4171 kg/m³

=====

Record 11
# LiTiZn2 | Alexandria | PBE | relaxed
data_LiTiZn2
_cell_length_a 4.4949
_cell_length_b 4.4949
_cell_length_c 3.0468
_cell_angle_alpha 90.00
_cell_angle_beta 90.00
_cell_angle_gamma 90.00
_space_group_name_H-M_alt 'P 4/m m m'
_space_group_IT_number 123
_space_group_name_Hall '-P 4 2'
loop_
_atom_site_label
_atom_site_fract_x
_atom_site_fract_y
_atom_site_fract_z
Li1 0.0000 0.0000 0.0000
Ti1 0.5000 0.5000 0.0000
Zn1 0.0000 0.5000 0.5000
# - Density of states at the Fermi level: 3.1 states/eV/cell
# - Excess energy over the best structure of this formula in the dataset: 0.015 eV/atom
# - Energy of formation: -0.582 eV per formula unit
# - Size of the total moment: 0.0 μB per formula unit
# - Uncorrected energy: -3.235 eV/atom
# - Theoretical density: 5007 kg/m³

=====

Record 12
# LiTiZn2 | Alexandria | PBE | relaxed
data_LiTiZn2
_cell_length_a 2.7748
_cell_length_b 2.7748
_cell_length_c 28.0232
_cell_angle_alpha 90.00
_cell_angle_beta 90.00
_cell_angle_gamma 120.00
_space_group_name_H-M_alt 'R -3 m'
_space_group_IT_number 166
_space_group_name_Hall '-R 3 2"'
loop_
_atom_site_label
_atom_site_fract_x
_atom_site_fract_y
_atom_site_fract_z
Li1 0.0000 0.0000 0.0000
Ti1 0.0000 0.0000 0.5000
Zn1 0.0000 0.0000 0.2514
# - Density of states at the Fermi level: 10.1 states/eV/cell
# - Excess energy over the best structure of this formula in the dataset: 0.106 eV/atom
# - Energy of formation: -0.221 eV per formula unit
# - Size of the total moment: 0.0 μB per formula unit
# - Uncorrected energy: -3.144 eV/atom
# - Theoretical density: 4949 kg/m³

=====

Record 13
# LiTi2Zn3 | Alexandria | PBE | relaxed
data_LiTi2Zn3
_cell_length_a 2.8342
_cell_length_b 2.8342
_cell_length_c 11.3913
_cell_angle_alpha 90.00
_cell_angle_beta 90.00
_cell_angle_gamma 90.00
_space_group_name_H-M_alt 'P 4/m m m'
_space_group_IT_number 123
_space_group_name_Hall '-P 4 2'
loop_
_atom_site_label
_atom_site_fract_x
_atom_site_fract_y
_atom_site_fract_z
Li1 0.0000 0.0000 0.0000
Ti1 0.0000 0.0000 0.3303
Zn1 0.5000 0.5000 0.1592
Zn2 0.5000 0.5000 0.5000
# - Density of states at the Fermi level: 3.2 states/eV/cell
# - Energy of formation: -1.036 eV per formula unit
# - Size of the total moment: 1.3 μB per formula unit
# - Uncorrected energy: -3.760 eV/atom
# - Theoretical density: 5424 kg/m³